[1]
## ScMnBe (PBE)

Data for a geometry-optimized ScMnBe structure.

Lattice parameters (Å, degrees): 3.9789 3.9789 3.3025 90.00 90.00 120.00
With the nearest neighbours (Å) after each atom.
Positions (direct):
Sc1 0.3333 0.6667 0.6665  6 Be 2.83, 6 Mn 2.83
Mn1 0.6667 0.3333 0.1665  3 Be 2.30
Be1 0.0000 0.0000 0.1667  3 Mn 2.30

The space group is P-6m2 (187). The formation energy comes out at 108 meV/atom. The value obtained for the calculated total energy is -18.9 eV/f.u. The calculation puts the total magnetization at 2.1 μB per formula unit. The offset from the most stable computed form comes out at 0.234 eV/atom.

[2]
## Rb2Ce2CoS6 (PBE)

Data for a geometry-optimized Rb2Ce2CoS6 structure.

Lattice parameters (Å, degrees): 6.6883 6.6883 8.1882 98.21 98.21 118.96
With the nearest neighbours (Å) after each atom.
Positions (direct):
S1 0.6296 0.9325 0.3169  1 Co 2.50, 2 Ce 2.74-2.75
S2 0.7733 0.7733 0.6703  1 Co 2.35
Rb1 0.8304 0.1696 0.0000  6 S 3.34-3.44
S3 0.9325 0.6296 0.3169  1 Co 2.50, 2 Ce 2.74-2.75
Ce1 0.6690 0.3310 0.5000  6 S 2.74-2.78
Rb2 0.1696 0.8304 0.0000  6 S 3.34-3.44
S4 0.0675 0.3704 0.6831  1 Co 2.50, 2 Ce 2.74-2.75
Co1 0.0000 0.0000 0.5000  6 S 2.35-2.50
Ce2 0.3310 0.6690 0.5000  6 S 2.74-2.78
S5 0.2267 0.2267 0.3297  1 Co 2.35
S6 0.3704 0.0675 0.6831  1 Co 2.50, 2 Ce 2.74-2.75

The space group is C2/m (12). For the uncorrected formation energy, the calculation gives -1.28 eV/atom. The value obtained for the calculated total energy is -59.8 eV/f.u. The calculation puts the total magnetization at 1.2 μB per formula unit.

[3]
## BiPdPb (PBE)

Data for a geometry-optimized BiPdPb structure.

Lattice parameters (Å, degrees): 3.7996 4.8638 4.8638 120.00 90.00 90.00
With the nearest neighbours (Å) after each atom.
Positions (direct):
Pd1 0.1155 0.0000 0.0000  3 Bi 2.82
Pb1 0.7001 0.6667 0.3333  6 Pd 3.22-3.58, 6 Bi 3.36-3.42
Bi1 0.1844 0.3333 0.6667  3 Pd 2.82

The space group is P3m1 (156). The formation energy comes out at -72 meV/atom. The value obtained for the calculated total energy is -13.0 eV/f.u. The calculation puts the total magnetization at 0.0 μB per formula unit. The offset from the most stable computed form comes out at 0.145 eV/atom.

[4]
## La2BeCuAg (PBE)

Data for a geometry-optimized La2BeCuAg structure.

Lattice parameters (Å, degrees): 5.4484 4.7660 5.4484 90.00 90.00 90.00
With the nearest neighbours (Å) after each atom.
Positions (direct):
Ag1 0.0000 0.5000 0.0000  2 Cu 2.38
La1 0.0000 0.0000 0.5000  2 Cu 2.72
Cu1 0.0000 0.0000 0.0000  2 Ag 2.38
La2 0.5000 0.0000 0.0000  2 Cu 2.72
Be1 0.5000 0.5000 0.5000  8 La 3.62, 4 Ag 3.85

The space group is P4/mmm (123). The formation energy comes out at 448 meV/atom. The value obtained for the calculated total energy is -18.3 eV/f.u. The calculation puts the total magnetization at 0.0 μB per formula unit.

[5]
## CsK3Br3 (PBE)

Data for a geometry-optimized CsK3Br3 structure.

Lattice parameters (Å, degrees): 9.1796 9.1796 9.1796 90.00 90.00 90.00
With the nearest neighbours (Å) after each atom.
Positions (direct):
K1 0.7500 0.5000 0.0000  4 Br 3.25
Br1 0.0000 0.5000 0.7500  4 K 3.25
K2 0.0000 0.7500 0.5000  4 Br 3.25
Br2 0.2500 0.0000 0.5000  4 K 3.25
Cs1 0.5000 0.5000 0.5000  12 Br 5.13, 12 K 5.13
Cs2 0.0000 0.0000 0.0000  12 Br 5.13, 12 K 5.13
Br3 0.0000 0.5000 0.2500  4 K 3.25
Br4 0.7500 0.0000 0.5000  4 K 3.25
Br5 0.5000 0.7500 0.0000  4 K 3.25
K3 0.5000 0.0000 0.2500  4 Br 3.25
K4 0.0000 0.2500 0.5000  4 Br 3.25
Br6 0.5000 0.2500 0.0000  4 K 3.25
K5 0.5000 0.0000 0.7500  4 Br 3.25
K6 0.2500 0.5000 0.0000  4 Br 3.25

The space group is Pm-3n (223). For the uncorrected formation energy, the calculation gives -1.36 eV/atom. The value obtained for the calculated total energy is -18.7 eV/f.u. The calculation puts the total magnetization at 0.0 μB per formula unit.

[6]
## Ba2CrH4 (PBE)

Data for a geometry-optimized Ba2CrH4 structure.

Lattice parameters (Å, degrees): 3.9346 3.9346 8.8260 77.12 77.12 90.00
With the nearest neighbours (Å) after each atom.
Positions (direct):
H1 0.1078 0.1078 0.7844  1 Cr 1.81
H2 0.0000 0.5000 0.0000  2 Cr 1.97
Cr1 0.0000 0.0000 0.0000  6 H 1.81-1.97
Ba1 0.6282 0.6282 0.7436  8 H 2.80-2.91
Ba2 0.3718 0.3718 0.2564  8 H 2.80-2.91
H3 0.8922 0.8922 0.2156  1 Cr 1.81
H4 0.5000 0.0000 0.0000  2 Cr 1.97

The space group is I4/mmm (139). The value obtained for the calculated total energy is -28.4 eV/f.u. The calculation puts the total magnetization at 3.6 μB per formula unit.

[7]
## V2Si4W (PBE)

Data for a geometry-optimized V2Si4W structure.

Lattice parameters (Å, degrees): 4.6335 4.6335 6.9058 70.40 70.40 90.00
With the nearest neighbours (Å) after each atom.
Positions (direct):
Si1 0.2025 0.2025 0.5949  1 W 2.46, 1 V 2.48
V1 0.4067 0.4067 0.1866  1 V 2.27, 1 Si 2.48
Si2 0.7975 0.7975 0.4051  1 W 2.46, 1 V 2.48
Si3 0.5000 0.0000 0.0000  2 W 2.32, 4 V 2.58
Si4 0.0000 0.5000 0.0000  2 W 2.32, 4 V 2.58
W1 0.0000 0.0000 0.0000  6 Si 2.32-2.46
V2 0.5933 0.5933 0.8134  1 V 2.27, 1 Si 2.48

The space group is I4/mmm (139). For the uncorrected formation energy, the calculation gives 0.59 eV/atom. The value obtained for the calculated total energy is -48.8 eV/f.u. The calculation puts the total magnetization at 0.6 μB per formula unit.

[8]
## Ti3AlGe (PBE)

Data for a geometry-optimized Ti3AlGe structure.

Lattice parameters (Å, degrees): 4.6774 4.6774 4.6774 90.00 90.00 90.00
With the nearest neighbours (Å) after each atom.
Positions (direct):
Ti1 0.5000 0.0000 0.0000  2 Ge 2.34
Ti2 0.0000 0.0000 0.5000  2 Ge 2.34
Ti3 0.0000 0.5000 0.0000  2 Ge 2.34
Al1 0.5000 0.5000 0.5000  12 Ti 3.31
Ge1 0.0000 0.0000 0.0000  6 Ti 2.34

The space group is Pm-3m (221). The formation energy comes out at 281 meV/atom. The value obtained for the calculated total energy is -30.6 eV/f.u. The calculation puts the total magnetization at 0.0 μB per formula unit. The offset from the most stable computed form comes out at 0.418 eV/atom.